First-principles (GGA+U) data for BeMoO3 after structural relaxation, as listed in Alexandria.

Properties
calculated total energy = -5.83 eV/atom
space-group type = Pm-3m
V = 12.0 Å³/atom

Cell lengths 3.9136, 3.9136, 3.9136 Å; angles 90.00, 90.00, 90.00 degrees
Site moments in Bohr magnetons follow the coordinates.
Sites, in units of the cell vectors:
Mo: 0.0000 0.0000 0.0000  1.43
Be: 0.5000 0.5000 0.5000  0.26
O: 0.5000 0.0000 0.0000  -0.12
O: 0.0000 0.5000 0.0000  -0.02
O: 0.0000 0.0000 0.5000  -0.01